1.
The following is a DFT calculation (PBE-GGA) of crystalline ZnSnOs2Pb at its relaxed geometry.

Values from the calculation:
ΔE_f ... 230.1 kJ/mol of atoms
Final energy ... -3.904 eV/atom
M_tot ... 2.1 μB per cell
Space group ... P4/mmm

abc: 5.0607 5.6003 5.0607
angles: 90.00 90.00 90.00
Last column: nearest neighbours and their distance in Å.
Sites, in units of the cell vectors:
Pb 0.0000 0.0000 0.0000  4 Os 2.53, 2 Sn 2.80
Zn 0.5000 0.5000 0.5000  4 Sn 3.58, 8 Os 3.77
Os 0.0000 0.0000 0.5000  2 Pb 2.53
Os 0.5000 0.0000 0.0000  2 Pb 2.53
Sn 0.0000 0.5000 0.0000  2 Pb 2.80

---

2.
The following is a DFT calculation (PBE-GGA) of crystalline PaTeHBr at its relaxed geometry.

Values from the calculation:
Final energy ... -5.353 eV/atom
M_tot ... 1.0 μB per cell
Space group ... Cm

abc: 3.9975 3.9975 7.9292
angles: 90.08 104.52 120.00
Last column: nearest neighbours and their distance in Å.
Sites, in units of the cell vectors:
Pa 0.5065 0.6178 0.1243  3 H 2.31
Te 0.9966 0.8622 0.8588  3 Pa 3.06, 3 H 3.09
H 0.8439 0.2866 0.1305  3 Pa 2.31
Br 0.3451 0.0378 0.3830  3 H 3.00, 3 Pa 3.03

---

3.
The following is a DFT calculation (PBE-GGA) of crystalline InSnTe4 at its relaxed geometry.

Values from the calculation:
Final energy ... -3.347 eV/atom
M_tot ... 0.0 μB per cell
Space group ... C2/m
ΔE_f (raw) ... -129 meV/atom

abc: 4.4348 7.6088 11.1679
angles: 89.92 90.00 90.00
Last column: nearest neighbours and their distance in Å.
Sites, in units of the cell vectors:
In 0.5000 0.5000 0.5000  6 Te 3.04-3.06
In 0.0000 0.0000 0.0000  6 Te 3.04-3.06
Sn 0.0000 0.0000 0.5000  6 Te 3.04-3.07
Sn 0.5000 0.5000 0.0000  6 Te 3.04-3.07
Te 0.5000 0.1665 0.3465  1 In 3.06, 2 Sn 3.07, 3 Te 3.34-3.36
Te 0.0000 0.3335 0.1535  1 In 3.06, 2 Sn 3.07, 3 Te 3.34-3.36
Te 0.5000 0.8335 0.6535  1 In 3.06, 2 Sn 3.07, 3 Te 3.34-3.36
Te 0.0000 0.6665 0.8465  1 In 3.06, 2 Sn 3.07, 3 Te 3.34-3.36
Te 0.0001 0.6651 0.3516  2 In 3.04, 1 Sn 3.04, 1 Te 3.36
Te 0.5001 0.8349 0.1484  2 In 3.04, 1 Sn 3.04, 1 Te 3.36
Te 0.9999 0.3349 0.6484  2 In 3.04, 1 Sn 3.04, 1 Te 3.36
Te 0.4999 0.1651 0.8516  2 In 3.04, 1 Sn 3.04, 1 Te 3.36